Entry from Alexandria: a geometry-optimized Er8Ni2Ru structure (GGA-PBE).

Structure (extended XYZ):
```
11
Lattice="8.4257 -2.4824 0.0000 8.4257 2.4824 0.0000 -1.9107 0.0000 6.3116" Properties=species:S:1:pos:R:3 pbc="T T T"
Er 0.0324 0.0000 1.8553
Er 1.7986 0.0000 5.1830
Er 4.5524 0.0000 3.3112
Er 6.7655 0.0000 0.3413
Er 8.1752 0.0000 5.9703
Er 10.3884 0.0000 3.0004
Er 13.1422 0.0000 1.1286
Er 14.9083 0.0000 4.4562
Ni 2.7497 0.0000 1.3302
Ni 12.1910 0.0000 4.9813
Ru 7.4704 0.0000 3.1558
```

Results
Space group = C2/m, No. 12
Energy = -60.282 eV for the cell shown
Polymorph energy (0 for the lowest one) = 0.000 eV per atom
D(E_F) = 11.6 states/eV per cell

Entry from Alexandria: a geometry-optimized ErScNiRu structure (GGA-PBE).

Structure (extended XYZ):
```
4
Lattice="3.2970 0.0000 0.0000 0.0000 3.2970 0.0000 0.0000 0.0000 6.4849" Properties=species:S:1:pos:R:3 pbc="T T T"
Er 0.0000 0.0000 0.0000
Sc 0.0000 0.0000 3.2187
Ni 1.6485 1.6485 4.7647
Ru 1.6485 1.6485 1.7207
```

Results
Space group = P4mm, No. 99
Energy = -28.021 eV for the cell shown
Polymorph energy (0 for the lowest one) = 0.000 eV per atom
D(E_F) = 1.4 states/eV per cell

Entry from Alexandria: a geometry-optimized ErScNiRu structure (GGA-PBE).

Structure (extended XYZ):
```
4
Lattice="0.0000 3.2776 3.2776 3.2776 0.0000 3.2776 3.2776 3.2776 0.0000" Properties=species:S:1:pos:R:3 pbc="T T T"
Er 0.0000 0.0000 0.0000
Sc 3.2776 3.2776 3.2776
Ni 1.6388 1.6388 1.6388
Ru 4.9164 4.9164 4.9164
```

Results
Space group = F-43m, No. 216
Energy = -27.920 eV for the cell shown
Polymorph energy (0 for the lowest one) = 0.025 eV per atom
D(E_F) = 2.2 states/eV per cell

Entry from Alexandria: a geometry-optimized Er2Si4Ni3Ru structure (GGA-PBE).

Structure (extended XYZ):
```
10
Lattice="3.9535 0.0000 0.0000 0.0000 3.9535 0.0000 0.0000 0.0000 9.6557" Properties=species:S:1:pos:R:3 pbc="T T T"
Er 0.0000 1.9767 2.3325
Er 1.9767 0.0000 7.3232
Si 0.0000 0.0000 0.0000
Si 0.0000 1.9767 6.1360
Si 1.9767 0.0000 3.5198
Si 1.9767 1.9767 0.0000
Ni 0.0000 1.9767 8.4409
Ni 1.9767 0.0000 1.2148
Ni 1.9767 1.9767 4.8279
Ru 0.0000 0.0000 4.8279
```

Results
Space group = P-4m2, No. 115
Energy = -66.102 eV for the cell shown
Uncorrected formation energy = -0.866 eV/atom
D(E_F) = 3.3 states/eV per cell

Entry from Alexandria: a geometry-optimized ErTaNiRu structure (GGA-PBE).

Structure (extended XYZ):
```
4
Lattice="0.0000 3.2360 3.2360 3.2360 0.0000 3.2360 3.2360 3.2360 0.0000" Properties=species:S:1:pos:R:3 pbc="T T T"
Er 0.0000 0.0000 0.0000
Ta 3.2360 3.2360 3.2360
Ni 4.8540 4.8540 4.8540
Ru 1.6180 1.6180 1.6180
```

Results
Space group = F-43m, No. 216
Energy = -32.392 eV for the cell shown
D(E_F) = 3.6 states/eV per cell

Entry from Alexandria: a geometry-optimized YErNiRu structure (GGA-PBE).

Structure (extended XYZ):
```
4
Lattice="3.3927 0.0000 0.0000 0.0000 3.3927 0.0000 0.0000 0.0000 6.7348" Properties=species:S:1:pos:R:3 pbc="T T T"
Y 0.0000 0.0000 0.0000
Er 0.0000 0.0000 3.3450
Ni 1.6964 1.6964 4.9928
Ru 1.6964 1.6964 1.7106
```

Results
Space group = P4mm, No. 99
Energy = -27.768 eV for the cell shown
Polymorph energy (0 for the lowest one) = 0.000 eV per atom
D(E_F) = 1.9 states/eV per cell